(1)
Sm2Al3Cu12Ag, optimized geometry, DFT PBE; final energy = -70.8 eV for the cell shown; volume = 304.9 Å³ per cell; ΔH_f (0 K) = 0.1062 eV/atom; ρ = 6.819 Mg/m³
1.0
3.009 1.737 9.723
-3.009 1.737 9.723
0.000 -3.474 9.723
Sm Al Cu Ag
2 3 12 1
Cartesian
0.000 0.000 4.139
0.000 0.000 25.030
-1.504 -0.869 9.723
-1.504 0.869 19.446
0.000 1.737 9.723
-1.651 -0.953 12.692
0.000 -2.099 8.332
-1.818 1.049 8.332
-1.818 -1.049 20.837
0.000 -1.906 16.477
-1.651 0.953 16.477
1.651 -0.953 12.692
0.000 1.906 12.692
1.818 1.049 8.332
1.818 -1.049 20.837
0.000 2.099 20.837
1.651 0.953 16.477
0.000 0.000 14.584

---

(2)
BaBeO3, optimized geometry, DFT PBE; final energy = -18.3 eV for the cell shown; volume = 91.6 Å³ per cell; ρ = 3.524 Mg/m³; energy relative to the elements, uncorrected = 0.4355 eV/atom
1.0
4.507 0.000 0.000
0.000 4.507 0.000
0.000 0.000 4.507
Ba Be O
1 1 3
Cartesian
0.000 0.000 0.000
2.254 2.254 2.254
0.000 0.000 2.254
0.000 2.254 0.000
2.254 0.000 0.000

---

(3)
HfTiBeSi2, optimized geometry, DFT PBE; final energy = -30.5 eV for the cell shown; volume = 79.4 Å³ per cell; ρ = 6.094 Mg/m³; energy relative to the elements, uncorrected = 0.3841 eV/atom
1.0
4.210 0.000 0.000
0.000 4.210 0.000
0.000 0.000 4.482
Hf Ti Be Si
1 1 1 2
Cartesian
0.000 0.000 0.000
2.105 2.105 0.000
0.000 0.000 2.241
0.000 2.105 2.241
2.105 0.000 2.241

---

Which of these has the lowest volume? HfTiBeSi2

---

Copy entry 2 word for word.
BaBeO3, optimized geometry, DFT PBE; final energy = -18.3 eV for the cell shown; volume = 91.6 Å³ per cell; ρ = 3.524 Mg/m³; energy relative to the elements, uncorrected = 0.4355 eV/atom
1.0
4.507 0.000 0.000
0.000 4.507 0.000
0.000 0.000 4.507
Ba Be O
1 1 3
Cartesian
0.000 0.000 0.000
2.254 2.254 2.254
0.000 0.000 2.254
0.000 2.254 0.000
2.254 0.000 0.000

---

Number 3 is which compound? HfTiBeSi2

---

Please write out number 1 again, unchanged.
Sm2Al3Cu12Ag, optimized geometry, DFT PBE; final energy = -70.8 eV for the cell shown; volume = 304.9 Å³ per cell; ΔH_f (0 K) = 0.1062 eV/atom; ρ = 6.819 Mg/m³
1.0
3.009 1.737 9.723
-3.009 1.737 9.723
0.000 -3.474 9.723
Sm Al Cu Ag
2 3 12 1
Cartesian
0.000 0.000 4.139
0.000 0.000 25.030
-1.504 -0.869 9.723
-1.504 0.869 19.446
0.000 1.737 9.723
-1.651 -0.953 12.692
0.000 -2.099 8.332
-1.818 1.049 8.332
-1.818 -1.049 20.837
0.000 -1.906 16.477
-1.651 0.953 16.477
1.651 -0.953 12.692
0.000 1.906 12.692
1.818 1.049 8.332
1.818 -1.049 20.837
0.000 2.099 20.837
1.651 0.953 16.477
0.000 0.000 14.584